A plane-wave DFT calculation with PBE was carried out for a geometry-optimized Li2CrCu structure.

Values from the calculation:
DFT formation energy in eV/atom: 0.328
Energy above the most stable polymorph in this dataset in kJ/mol of formula units: 25
D(E_F) in states/eV per atom: 0.64

```
Li2CrCu
1.0
-0.270 1.954 -4.194
-1.115 -5.172 0.117
-2.766 -0.059 -0.062
Cu Li Cr
1 2 1
Cartesian
-0.693 -1.609 -2.039
0.000 0.000 0.000
-1.518 0.947 -2.128
-1.941 -2.616 0.028
```